Record 1
! SCAN RbGa2Pd, single point on PBEsol structure; values from VASP
&SYSTEM
  ibrav = 0, nat = 4, ntyp = 3
/
ATOMIC_SPECIES
Ga 69.72 Ga.upf
Pd 106.42 Pd.upf
Rb 85.47 Rb.upf
CELL_PARAMETERS angstrom
-1.0702 -4.7363 0.6021
3.0637 -3.4315 -1.6671
2.5840 -2.7109 3.1487
ATOMIC_POSITIONS crystal
Ga 0.7500 0.7500 0.7500
Ga 0.2500 0.2500 0.2500
Pd 0.5000 0.5000 0.5000
Rb 0.0000 0.0000 0.0000
! VASP energy (eV for the cell shown): -85.09



Record 2
! SCAN RbGaPdRu2, single point on PBEsol structure; values from VASP
&SYSTEM
  ibrav = 0, nat = 5, ntyp = 4
/
ATOMIC_SPECIES
Ru 101.07 Ru.upf
Rb 85.47 Rb.upf
Pd 106.42 Pd.upf
Ga 69.72 Ga.upf
CELL_PARAMETERS angstrom
-4.4518 -1.1751 -1.1430
0.6630 -4.3157 1.8549
-1.5432 1.6271 4.3374
ATOMIC_POSITIONS crystal
Ru 0.5000 0.0000 0.0000
Ru 0.0000 0.5000 0.0000
Rb 0.0000 0.0000 0.0000
Pd 0.0000 0.0000 0.5000
Ga 0.5000 0.5000 0.5000
! VASP energy (eV for the cell shown): -126.30



Record 3
! SCAN Ga3PdRh, single point on PBEsol structure; values from VASP
&SYSTEM
  ibrav = 0, nat = 5, ntyp = 3
/
ATOMIC_SPECIES
Ga 69.72 Ga.upf
Rh 102.91 Rh.upf
Pd 106.42 Pd.upf
CELL_PARAMETERS angstrom
4.5973 0.0000 0.0000
0.0000 4.5973 0.0000
0.0000 0.0000 4.5973
ATOMIC_POSITIONS crystal
Ga 0.5000 0.0000 0.0000
Ga 0.0000 0.0000 0.5000
Ga 0.0000 0.5000 0.0000
Rh 0.5000 0.5000 0.5000
Pd 0.0000 0.0000 0.0000
! VASP energy (eV for the cell shown): -113.51



Record 4
! SCAN Ga2PdRuRh, single point on PBEsol structure; values from VASP
&SYSTEM
  ibrav = 0, nat = 5, ntyp = 4
/
ATOMIC_SPECIES
Pd 106.42 Pd.upf
Rh 102.91 Rh.upf
Ga 69.72 Ga.upf
Ru 101.07 Ru.upf
CELL_PARAMETERS angstrom
4.5573 0.0000 0.0000
0.0000 4.5988 0.0000
0.0000 0.0000 4.5988
ATOMIC_POSITIONS crystal
Pd 0.5000 0.5000 0.5000
Rh 0.5000 0.0000 0.0000
Ga 0.0000 0.5000 0.0000
Ga 0.0000 0.0000 0.5000
Ru 0.0000 0.0000 0.0000
! VASP energy (eV for the cell shown): -130.85



Record 5
! SCAN YGaPdRh2, single point on PBEsol structure; values from VASP
&SYSTEM
  ibrav = 0, nat = 5, ntyp = 4
/
ATOMIC_SPECIES
Ga 69.72 Ga.upf
Rh 102.91 Rh.upf
Pd 106.42 Pd.upf
Y 88.91 Y.upf
CELL_PARAMETERS angstrom
4.4308 0.0000 0.0000
0.0000 4.4308 0.0000
0.0000 0.0000 5.0867
ATOMIC_POSITIONS crystal
Ga 0.0000 0.0000 0.0000
Rh 0.5000 0.0000 0.0000
Rh 0.0000 0.5000 0.0000
Pd 0.5000 0.5000 0.5000
Y 0.0000 0.0000 0.5000
! VASP energy (eV for the cell shown): -143.09



Record 6
! SCAN TaGaPd2Ru, single point on PBEsol structure; values from VASP
&SYSTEM
  ibrav = 0, nat = 5, ntyp = 4
/
ATOMIC_SPECIES
Ru 101.07 Ru.upf
Ta 180.95 Ta.upf
Pd 106.42 Pd.upf
Ga 69.72 Ga.upf
CELL_PARAMETERS angstrom
-4.0966 -1.5906 -0.0767
0.6053 -1.7511 3.9856
-1.5036 3.7815 1.8898
ATOMIC_POSITIONS crystal
Ru 0.0000 0.0000 0.5000
Ta 0.5000 0.5000 0.5000
Pd 0.5000 0.0000 0.0000
Pd 0.0000 0.5000 0.0000
Ga 0.0000 0.0000 0.0000
! VASP energy (eV for the cell shown): -179.30



Record 7
! SCAN GaPdS2, single point on PBEsol structure; values from VASP
&SYSTEM
  ibrav = 0, nat = 4, ntyp = 3
/
ATOMIC_SPECIES
Pd 106.42 Pd.upf
S 32.06 S.upf
Ga 69.72 Ga.upf
CELL_PARAMETERS angstrom
-2.9325 -1.2081 1.4066
0.0863 -1.6221 3.0658
-1.9950 5.7597 5.0669
ATOMIC_POSITIONS crystal
Pd 0.5000 0.5000 0.5000
S 0.1106 0.1106 0.6681
S 0.8894 0.8894 0.3319
Ga 0.0000 0.0000 0.0000
! ΔE_f (raw) (meV per atom): -81
! VASP energy (eV for the cell shown): -68.70



Record 8
! SCAN GaPd3S, single point on PBEsol structure; values from VASP
&SYSTEM
  ibrav = 0, nat = 5, ntyp = 3
/
ATOMIC_SPECIES
Pd 106.42 Pd.upf
S 32.06 S.upf
Ga 69.72 Ga.upf
CELL_PARAMETERS angstrom
-1.7039 -3.4283 -2.2648
3.9238 -2.0851 0.2043
-1.2191 -1.9196 3.8229
ATOMIC_POSITIONS crystal
Pd 0.0000 0.0000 0.5000
Pd 0.5000 0.0000 0.0000
Pd 0.0000 0.5000 0.0000
S 0.0000 0.0000 0.0000
Ga 0.5000 0.5000 0.5000
! ΔE_f (raw) (meV per atom): -19
! VASP energy (eV for the cell shown): -124.39



Record 9
! SCAN GaSbPd2, single point on PBEsol structure; values from VASP
&SYSTEM
  ibrav = 0, nat = 4, ntyp = 3
/
ATOMIC_SPECIES
Ga 69.72 Ga.upf
Pd 106.42 Pd.upf
Sb 121.76 Sb.upf
CELL_PARAMETERS angstrom
-2.5829 3.7086 0.4874
-2.3715 1.5986 -3.5332
-4.5309 -0.3635 -0.0475
ATOMIC_POSITIONS crystal
Ga 0.0000 0.0000 0.0000
Pd 0.7500 0.7500 0.7500
Pd 0.2500 0.2500 0.2500
Sb 0.5000 0.5000 0.5000
! ΔE_f (raw) (meV per atom): -292
! VASP energy (eV for the cell shown): -120.32



Record 10
! SCAN Sc2GaPd2, single point on PBEsol structure; values from VASP
&SYSTEM
  ibrav = 0, nat = 5, ntyp = 3
/
ATOMIC_SPECIES
Pd 106.42 Pd.upf
Ga 69.72 Ga.upf
Sc 44.96 Sc.upf
CELL_PARAMETERS angstrom
-0.7718 -0.7815 -4.9598
-3.4075 -1.8963 3.4306
-4.5939 2.1352 0.3785
ATOMIC_POSITIONS crystal
Pd 0.3360 0.6720 0.6640
Pd 0.6640 0.3280 0.3360
Ga 0.0000 0.0000 0.0000
Sc 0.7500 0.5000 0.7500
Sc 0.2500 0.5000 0.2500
! VASP energy (eV for the cell shown): -113.54



Record 11
! SCAN ScGaPd, single point on PBEsol structure; values from VASP
&SYSTEM
  ibrav = 0, nat = 12, ntyp = 3
/
ATOMIC_SPECIES
Ga 69.72 Ga.upf
Pd 106.42 Pd.upf
Sc 44.96 Sc.upf
CELL_PARAMETERS angstrom
-3.1162 -2.9809 -0.5578
4.1079 -4.4905 1.0482
-1.5718 0.2723 7.3262
ATOMIC_POSITIONS crystal
Ga 0.7500 0.2004 0.9199
Ga 0.2500 0.2996 0.4199
Ga 0.2500 0.7996 0.0801
Ga 0.7500 0.7004 0.5801
Pd 0.2500 0.2343 0.0886
Pd 0.2500 0.7343 0.4114
Pd 0.7500 0.2657 0.5886
Pd 0.7500 0.7657 0.9114
Sc 0.7500 0.5093 0.2174
Sc 0.2500 0.4907 0.7826
Sc 0.7500 0.0093 0.2826
Sc 0.2500 0.9907 0.7174
! VASP energy (eV for the cell shown): -265.19



Record 12
! SCAN ScZnGaPd2, single point on PBEsol structure; values from VASP
&SYSTEM
  ibrav = 0, nat = 5, ntyp = 4
/
ATOMIC_SPECIES
Ga 69.72 Ga.upf
Pd 106.42 Pd.upf
Zn 65.41 Zn.upf
Sc 44.96 Sc.upf
CELL_PARAMETERS angstrom
-3.3651 -0.8073 2.9574
2.0860 -3.8210 1.3305
2.3631 2.4603 3.3605
ATOMIC_POSITIONS crystal
Ga 0.5000 0.5000 0.5000
Pd 0.0000 0.5000 0.0000
Pd 0.5000 0.0000 0.0000
Zn 0.0000 0.0000 0.0000
Sc 0.0000 0.0000 0.5000
! VASP energy (eV for the cell shown): -108.33



Record 13
! SCAN GaPd3Se, single point on PBEsol structure; values from VASP
&SYSTEM
  ibrav = 0, nat = 5, ntyp = 3
/
ATOMIC_SPECIES
Ga 69.72 Ga.upf
Pd 106.42 Pd.upf
Se 78.96 Se.upf
CELL_PARAMETERS angstrom
-3.6907 -0.8816 2.6562
-1.0726 -3.6149 -2.6900
2.5850 -2.7585 2.6762
ATOMIC_POSITIONS crystal
Ga 0.5000 0.5000 0.5000
Pd 0.5000 0.0000 0.0000
Pd 0.0000 0.5000 0.0000
Pd 0.0000 0.0000 0.5000
Se 0.0000 0.0000 0.0000
! ΔE_f (raw) (meV per atom): 187
! VASP energy (eV for the cell shown): -133.81



Record 14
! SCAN Ga3PdSe, single point on PBEsol structure; values from VASP
&SYSTEM
  ibrav = 0, nat = 5, ntyp = 3
/
ATOMIC_SPECIES
Pd 106.42 Pd.upf
Ga 69.72 Ga.upf
Se 78.96 Se.upf
CELL_PARAMETERS angstrom
-4.3169 0.3390 -2.2127
-2.2385 -0.6403 4.2692
0.0063 4.8085 0.7245
ATOMIC_POSITIONS crystal
Pd 0.5000 0.5000 0.5000
Ga 0.0000 0.0000 0.5000
Ga 0.0000 0.5000 0.0000
Ga 0.5000 0.0000 0.0000
Se 0.0000 0.0000 0.0000
! ΔE_f (raw) (meV per atom): 762
! VASP energy (eV for the cell shown): -98.08



Record 15
! SCAN SmGaPd, single point on PBEsol structure; values from VASP
&SYSTEM
  ibrav = 0, nat = 12, ntyp = 3
/
ATOMIC_SPECIES
Sm 150.36 Sm.upf
Pd 106.42 Pd.upf
Ga 69.72 Ga.upf
CELL_PARAMETERS angstrom
-2.4152 -3.3580 -1.6828
3.3765 -4.4941 4.1217
-5.2042 1.0390 5.3961
ATOMIC_POSITIONS crystal
Sm 0.2500 0.4805 0.8035
Sm 0.2500 0.9805 0.6965
Sm 0.7500 0.5195 0.1965
Sm 0.7500 0.0195 0.3035
Pd 0.7500 0.7872 0.9051
Pd 0.7500 0.2872 0.5949
Pd 0.2500 0.7128 0.4051
Pd 0.2500 0.2128 0.0949
Ga 0.7500 0.6733 0.5778
Ga 0.7500 0.1733 0.9222
Ga 0.2500 0.3267 0.4222
Ga 0.2500 0.8267 0.0778
! VASP energy (eV for the cell shown): -386.05



Record 16
! SCAN SrGa2Pd2, single point on PBEsol structure; values from VASP
&SYSTEM
  ibrav = 0, nat = 5, ntyp = 3
/
ATOMIC_SPECIES
Pd 106.42 Pd.upf
Ga 69.72 Ga.upf
Sr 87.62 Sr.upf
CELL_PARAMETERS angstrom
4.2989 0.0000 0.0000
0.0000 4.2989 0.0000
-2.1494 -2.1494 5.3378
ATOMIC_POSITIONS crystal
Pd 0.6267 0.6267 0.2534
Pd 0.3733 0.3733 0.7466
Ga 0.2500 0.7500 0.5000
Ga 0.7500 0.2500 0.5000
Sr 0.0000 0.0000 0.0000
! VASP energy (eV for the cell shown): -124.11



Record 17
! SCAN SrGaPd3, single point on PBEsol structure; values from VASP
&SYSTEM
  ibrav = 0, nat = 5, ntyp = 3
/
ATOMIC_SPECIES
Pd 106.42 Pd.upf
Sr 87.62 Sr.upf
Ga 69.72 Ga.upf
CELL_PARAMETERS angstrom
5.0440 0.0000 0.0000
0.0000 5.0440 0.0000
0.0000 0.0000 5.0440
ATOMIC_POSITIONS crystal
Pd 0.0000 0.5000 0.0000
Pd 0.5000 0.0000 0.0000
Pd 0.0000 0.0000 0.5000
Sr 0.0000 0.0000 0.0000
Ga 0.5000 0.5000 0.5000
! VASP energy (eV for the cell shown): -131.77



Record 18
! SCAN Ta3GaPd, single point on PBEsol structure; values from VASP
&SYSTEM
  ibrav = 0, nat = 5, ntyp = 3
/
ATOMIC_SPECIES
Ta 180.95 Ta.upf
Ga 69.72 Ga.upf
Pd 106.42 Pd.upf
CELL_PARAMETERS angstrom
4.7608 0.0000 0.0000
0.0000 4.7608 0.0000
0.0000 0.0000 4.7608
ATOMIC_POSITIONS crystal
Ta 0.5000 0.0000 0.0000
Ta 0.0000 0.0000 0.5000
Ta 0.0000 0.5000 0.0000
Ga 0.5000 0.5000 0.5000
Pd 0.0000 0.0000 0.0000
! VASP energy (eV for the cell shown): -242.04



Record 19
! SCAN Tb4Ga12Pd, single point on PBEsol structure; values from VASP
&SYSTEM
  ibrav = 0, nat = 17, ntyp = 3
/
ATOMIC_SPECIES
Tb 158.93 Tb.upf
Ga 69.72 Ga.upf
Pd 106.42 Pd.upf
CELL_PARAMETERS angstrom
-4.2246 -5.9859 0.7560
7.0709 -1.8559 0.8984
-1.8905 4.9957 5.0714
ATOMIC_POSITIONS crystal
Tb 0.5000 0.5000 0.5000
Tb 0.5000 0.0000 0.0000
Tb 0.0000 0.0000 0.5000
Tb 0.0000 0.5000 0.0000
Ga 0.0000 0.2970 0.2970
Ga 0.2970 0.2970 0.0000
Ga 0.2500 0.5000 0.7500
Ga 0.2970 0.0000 0.2970
Ga 0.7030 0.7030 0.0000
Ga 0.5000 0.7500 0.2500
Ga 0.7030 0.0000 0.7030
Ga 0.7500 0.2500 0.5000
Ga 0.7500 0.5000 0.2500
Ga 0.0000 0.7030 0.7030
Ga 0.5000 0.2500 0.7500
Ga 0.2500 0.7500 0.5000
Pd 0.0000 0.0000 0.0000
! VASP energy (eV for the cell shown): -427.85



Record 20
! SCAN TbGa2Pd, single point on PBEsol structure; values from VASP
&SYSTEM
  ibrav = 0, nat = 8, ntyp = 3
/
ATOMIC_SPECIES
Ga 69.72 Ga.upf
Tb 158.93 Tb.upf
Pd 106.42 Pd.upf
CELL_PARAMETERS angstrom
-1.3244 -3.4373 2.3889
4.2689 -1.0933 -3.2409
4.0646 1.7456 4.7651
ATOMIC_POSITIONS crystal
Ga 0.3729 0.7458 0.0537
Ga 0.6271 0.2542 0.5537
Ga 0.3729 0.7458 0.4463
Ga 0.6271 0.2542 0.9463
Tb 0.9104 0.8209 0.7500
Tb 0.0896 0.1791 0.2500
Pd 0.2002 0.4003 0.7500
Pd 0.7998 0.5997 0.2500
! VASP energy (eV for the cell shown): -231.76



Record 21
! SCAN GaTc3Pd, single point on PBEsol structure; values from VASP
&SYSTEM
  ibrav = 0, nat = 5, ntyp = 3
/
ATOMIC_SPECIES
Tc 98.00 Tc.upf
Pd 106.42 Pd.upf
Ga 69.72 Ga.upf
CELL_PARAMETERS angstrom
-3.7874 -1.0901 -1.9880
1.8827 -3.6687 -1.5750
-1.2633 -2.1993 3.6127
ATOMIC_POSITIONS crystal
Tc 0.0000 0.0000 0.5000
Tc 0.5000 0.0000 0.0000
Tc 0.0000 0.5000 0.0000
Pd 0.5000 0.5000 0.5000
Ga 0.0000 0.0000 0.0000
! E above lowest polymorph (meV/atom): 0
! VASP energy (eV for the cell shown): -146.09



Record 22
! SCAN GaTcPd3, single point on PBEsol structure; values from VASP
&SYSTEM
  ibrav = 0, nat = 5, ntyp = 3
/
ATOMIC_SPECIES
Pd 106.42 Pd.upf
Ga 69.72 Ga.upf
Tc 98.00 Tc.upf
CELL_PARAMETERS angstrom
4.6986 0.0000 0.0000
0.0000 4.6986 0.0000
0.0000 0.0000 4.6986
ATOMIC_POSITIONS crystal
Pd 0.0000 0.5000 0.0000
Pd 0.5000 0.0000 0.0000
Pd 0.0000 0.0000 0.5000
Ga 0.5000 0.5000 0.5000
Tc 0.0000 0.0000 0.0000
! VASP energy (eV for the cell shown): -143.86



Record 23
! SCAN GaTc3Pd, single point on PBEsol structure; values from VASP
&SYSTEM
  ibrav = 0, nat = 5, ntyp = 3
/
ATOMIC_SPECIES
Pd 106.42 Pd.upf
Ga 69.72 Ga.upf
Tc 98.00 Tc.upf
CELL_PARAMETERS angstrom
-1.0334 2.6220 -3.6544
-0.1822 -3.7709 -2.6541
-4.4940 -0.4500 0.9479
ATOMIC_POSITIONS crystal
Pd 0.0000 0.0000 0.0000
Ga 0.5000 0.5000 0.5000
Tc 0.0000 0.5000 0.0000
Tc 0.0000 0.0000 0.5000
Tc 0.5000 0.0000 0.0000
! E above lowest polymorph (meV/atom): 447
! VASP energy (eV for the cell shown): -143.85



Record 24
! SCAN Ga2TcPd, single point on PBEsol structure; values from VASP
&SYSTEM
  ibrav = 0, nat = 4, ntyp = 3
/
ATOMIC_SPECIES
Ga 69.72 Ga.upf
Tc 98.00 Tc.upf
Pd 106.42 Pd.upf
CELL_PARAMETERS angstrom
-3.0169 -1.0657 2.8437
0.2292 -3.7444 2.0617
0.9320 -0.0899 4.1770
ATOMIC_POSITIONS crystal
Ga 0.2500 0.2500 0.2500
Ga 0.7500 0.7500 0.7500
Tc 0.0000 0.0000 0.0000
Pd 0.5000 0.5000 0.5000
! VASP energy (eV for the cell shown): -101.86



Record 25
! SCAN GaTcPdW2, single point on PBEsol structure; values from VASP
&SYSTEM
  ibrav = 0, nat = 5, ntyp = 4
/
ATOMIC_SPECIES
W 183.84 W.upf
Pd 106.42 Pd.upf
Ga 69.72 Ga.upf
Tc 98.00 Tc.upf
CELL_PARAMETERS angstrom
4.3428 0.0000 0.0000
0.0000 4.7022 0.0000
0.0000 0.0000 4.7022
ATOMIC_POSITIONS crystal
W 0.0000 0.0000 0.5000
W 0.0000 0.5000 0.0000
Pd 0.0000 0.0000 0.0000
Ga 0.5000 0.0000 0.0000
Tc 0.5000 0.5000 0.5000
! VASP energy (eV for the cell shown): -213.53